Record 1
Here is crystalline Ca2ScInH at its relaxed geometry from Alexandria. Energies are from GGA-PBE.

POSCAR file:
```
Ca2ScInH
1.0
-2.316 -1.960 3.732
2.880 -3.845 -0.232
3.103 2.141 3.050
Sc Ca H In
1 2 1 1
Direct
0.000 0.000 0.500
0.500 0.000 0.000
0.000 0.500 0.000
0.000 0.000 0.000
0.500 0.500 0.500
```

Computed properties:
DOS at the Fermi energy, states/eV per atom: 0.78
Electronic total energy, eV per atom: -3.5514
Space-group type: P4/mmm (123)

=====

Record 2
Here is crystalline CaInSn2H at its relaxed geometry from Alexandria. Energies are from GGA-PBE.

POSCAR file:
```
CaInSn2H
1.0
4.918 0.000 0.000
0.000 4.918 0.000
0.000 0.000 4.609
Sn Ca In H
2 1 1 1
Direct
0.000 0.500 0.000
0.500 0.000 0.000
0.000 0.000 0.500
0.500 0.500 0.500
0.000 0.000 0.000
```

Computed properties:
DOS at the Fermi energy, states/eV per atom: 0.71
Electronic total energy, eV per atom: -3.3582
Space-group type: P4/mmm (123)

=====

Record 3
Here is crystalline Ca4InSnH at its relaxed geometry from Alexandria. Energies are from GGA-PBE.

POSCAR file:
```
Ca4InSnH
1.0
6.584 0.000 0.000
0.000 6.583 0.000
-3.292 0.000 9.010
Ca In H Sn
8 2 2 2
Direct
0.000 0.500 0.500
0.000 0.000 0.500
0.431 0.750 0.861
0.934 0.250 0.869
0.500 0.500 0.500
0.569 0.250 0.139
0.066 0.750 0.131
0.500 0.000 0.500
0.615 0.750 0.230
0.385 0.250 0.770
0.254 0.750 0.508
0.746 0.250 0.492
0.882 0.750 0.765
0.118 0.250 0.235
```

Computed properties:
DOS at the Fermi energy, states/eV per atom: 0.68
Electronic total energy, eV per atom: -3.0379
Space-group type: Cmcm (63)

=====

Record 4
Here is crystalline Sr2Ca2In2H at its relaxed geometry from Alexandria. Energies are from GGA-PBE.

POSCAR file:
```
Sr2Ca2In2H
1.0
-1.553 0.676 -4.816
3.368 -3.497 -1.577
-6.646 -4.571 4.208
In Sr Ca H
2 2 2 1
Direct
0.621 0.621 0.241
0.379 0.379 0.759
0.177 0.177 0.353
0.823 0.823 0.647
0.500 0.000 0.000
0.000 0.500 0.000
0.000 0.000 0.000
```

Computed properties:
DOS at the Fermi energy, states/eV per atom: 0.58
Electronic total energy, eV per atom: -2.6877
Space-group type: I4/mmm (139)

=====

Record 5
Here is crystalline SrCa2InH2 at its relaxed geometry from Alexandria. Energies are from GGA-PBE.

POSCAR file:
```
SrCa2InH2
1.0
-3.695 0.766 -4.039
3.778 -4.464 -4.303
-5.027 -4.325 3.777
In H Ca Sr
2 4 4 2
Direct
0.750 0.345 0.699
0.250 0.655 0.301
0.504 0.131 0.172
0.004 0.869 0.828
0.496 0.869 0.828
0.996 0.131 0.172
0.750 0.859 0.596
0.250 0.141 0.404
0.750 0.386 0.262
0.250 0.614 0.738
0.750 0.834 0.078
0.250 0.166 0.922
```

Computed properties:
DOS at the Fermi energy, states/eV per atom: 0.84
Electronic total energy, eV per atom: -2.9699
Space-group type: P2_1/m (11)

=====

Record 6
Here is crystalline CaIn2TcH at its relaxed geometry from Alexandria. Energies are from GGA-PBE.

POSCAR file:
```
CaIn2TcH
1.0
5.300 0.000 0.000
0.000 3.705 0.000
0.000 0.000 5.300
In H Ca Tc
2 1 1 1
Direct
0.500 0.000 0.000
0.000 0.000 0.500
0.000 0.500 0.000
0.500 0.500 0.500
0.000 0.000 0.000
```

Computed properties:
DOS at the Fermi energy, states/eV per atom: 0.64
Electronic total energy, eV per atom: -4.0396
Space-group type: P4/mmm (123)

=====

Record 7
Here is crystalline CaTlIn2H at its relaxed geometry from Alexandria. Energies are from GGA-PBE.

POSCAR file:
```
CaTlIn2H
1.0
-3.842 -2.287 -1.959
2.431 -0.481 -4.206
1.722 -4.151 1.469
H In Tl Ca
1 2 1 1
Direct
0.000 0.000 0.000
0.500 0.000 0.000
0.000 0.500 0.000
0.500 0.500 0.500
0.000 0.000 0.500
```

Computed properties:
DOS at the Fermi energy, states/eV per atom: 0.30
Electronic total energy, eV per atom: -2.7836
Space-group type: P4/mmm (123)

=====

Record 8
Here is crystalline Ca2TlInH at its relaxed geometry from Alexandria. Energies are from GGA-PBE.

POSCAR file:
```
Ca2TlInH
1.0
6.095 0.000 0.000
0.000 3.992 0.000
0.000 0.000 6.095
Ca In H Tl
2 1 1 1
Direct
0.000 0.000 0.500
0.500 0.000 0.000
0.500 0.500 0.500
0.000 0.500 0.000
0.000 0.000 0.000
```

Computed properties:
Energy above the most stable polymorph in this dataset, meV per atom: 484
DOS at the Fermi energy, states/eV per atom: 0.85
Space-group type: P4/mmm (123)

=====

Record 9
Here is crystalline Ca2TlInH at its relaxed geometry from Alexandria. Energies are from GGA-PBE.

POSCAR file:
```
Ca2TlInH
1.0
-4.487 -1.899 -0.555
0.286 -1.983 4.476
-1.908 3.959 1.876
Ca Tl In H
2 1 1 1
Direct
0.000 0.500 0.000
0.500 0.000 0.000
0.500 0.500 0.500
0.000 0.000 0.500
0.000 0.000 0.000
```

Computed properties:
Energy above the most stable polymorph in this dataset, meV per atom: 0
DOS at the Fermi energy, states/eV per atom: 0.32
Space-group type: P4/mmm (123)

=====

Record 10
Here is crystalline Ca2TlInH at its relaxed geometry from Alexandria. Energies are from GGA-PBE.

POSCAR file:
```
Ca2TlInH
1.0
-1.744 2.544 -3.785
-0.698 -4.154 -2.470
-4.502 -0.341 1.846
In Ca H Tl
1 2 1 1
Direct
0.500 0.500 0.500
0.500 0.000 0.000
0.000 0.500 0.000
0.000 0.000 0.000
0.000 0.000 0.500
```

Computed properties:
Energy above the most stable polymorph in this dataset, meV per atom: 5
DOS at the Fermi energy, states/eV per atom: 0.36
Space-group type: P4/mmm (123)

=====

Record 11
Here is crystalline CaVIn2H at its relaxed geometry from Alexandria. Energies are from GGA-PBE.

POSCAR file:
```
CaVIn2H
1.0
-2.281 -3.490 3.507
-0.315 -2.406 -2.598
4.924 -1.978 1.235
H V In Ca
1 1 2 1
Direct
0.000 0.500 0.000
0.000 0.000 0.000
0.000 0.000 0.500
0.500 0.000 0.000
0.500 0.500 0.500
```

Computed properties:
DOS at the Fermi energy, states/eV per atom: 0.92
Electronic total energy, eV per atom: -3.8269
Space-group type: P4/mmm (123)

=====

Record 12
Here is crystalline CaY2InH at its relaxed geometry from Alexandria. Energies are from GGA-PBE.

POSCAR file:
```
CaY2InH
1.0
4.864 0.000 0.000
0.000 5.053 0.000
0.000 0.000 4.864
Ca In Y H
1 1 2 1
Direct
0.500 0.500 0.500
0.000 0.500 0.000
0.500 0.000 0.000
0.000 0.000 0.500
0.000 0.000 0.000
```

Computed properties:
Energy above the most stable polymorph in this dataset, meV per atom: 137
DOS at the Fermi energy, states/eV per atom: 0.98
Space-group type: P4/mmm (123)

=====

Record 13
Here is crystalline CaY2InH at its relaxed geometry from Alexandria. Energies are from GGA-PBE.

POSCAR file:
```
CaY2InH
1.0
-2.310 -4.006 1.578
3.500 -2.790 -1.960
2.523 0.205 4.212
Y H Ca In
2 1 1 1
Direct
0.500 0.000 0.000
0.000 0.500 0.000
0.000 0.000 0.000
0.000 0.000 0.500
0.500 0.500 0.500
```

Computed properties:
Energy above the most stable polymorph in this dataset, meV per atom: 0
DOS at the Fermi energy, states/eV per atom: 0.74
Space-group type: P4/mmm (123)

=====

Record 14
Here is crystalline Ca2ZnInH at its relaxed geometry from Alexandria. Energies are from GGA-PBE.

POSCAR file:
```
Ca2ZnInH
1.0
5.093 0.000 0.000
0.000 5.093 0.000
0.000 0.000 4.042
In Ca Zn H
1 2 1 1
Direct
0.500 0.500 0.500
0.500 0.000 0.000
0.000 0.500 0.000
0.000 0.000 0.500
0.000 0.000 0.000
```

Computed properties:
Energy above the most stable polymorph in this dataset, meV per atom: 0
DOS at the Fermi energy, states/eV per atom: 0.33
Space-group type: P4/mmm (123)

=====

Record 15
Here is crystalline Ca2ZnInH at its relaxed geometry from Alexandria. Energies are from GGA-PBE.

POSCAR file:
```
Ca2ZnInH
1.0
-1.600 -1.248 -4.585
3.548 -2.360 -0.595
-2.342 -4.003 1.907
In Ca Zn H
1 2 1 1
Direct
0.000 0.500 0.000
0.500 0.000 0.000
0.000 0.000 0.500
0.500 0.500 0.500
0.000 0.000 0.000
```

Computed properties:
Energy above the most stable polymorph in this dataset, meV per atom: 88
DOS at the Fermi energy, states/eV per atom: 0.44
Space-group type: P4/mmm (123)

=====

Record 16
Here is crystalline CaH2Ir at its relaxed geometry from Alexandria. Energies are from GGA-PBE.

POSCAR file:
```
CaH2Ir
1.0
-1.402 3.805 -1.688
-3.769 -0.403 2.221
-0.522 4.217 4.224
Ir Ca H
2 2 4
Direct
0.000 0.000 0.000
0.750 0.250 0.500
0.500 0.500 0.000
0.250 0.750 0.500
0.875 0.008 0.750
0.992 0.625 0.250
0.375 0.242 0.750
0.758 0.125 0.250
```

Computed properties:
Energy above the most stable polymorph in this dataset, meV per atom: 0
DOS at the Fermi energy, states/eV per atom: 0.31
Space-group type: I-42d (122)

=====

Record 17
Here is crystalline CaH7Ir2 at its relaxed geometry from Alexandria. Energies are from GGA-PBE.

POSCAR file:
```
CaH7Ir2
1.0
-1.664 -2.301 -2.269
1.918 -4.290 2.945
-4.509 2.263 1.011
Ir H Ca
2 7 1
Direct
0.500 0.300 0.600
0.500 0.700 0.400
0.000 0.693 0.387
0.500 0.940 0.276
0.500 0.060 0.724
0.500 0.500 0.000
0.500 0.665 0.724
0.000 0.307 0.613
0.500 0.335 0.276
0.000 0.000 0.000
```

Computed properties:
DOS at the Fermi energy, states/eV per atom: 0.24
Electronic total energy, eV per atom: -4.5158
Space-group type: Cmmm (65)

=====

Record 18
Here is crystalline CaH4Ir at its relaxed geometry from Alexandria. Energies are from GGA-PBE.

POSCAR file:
```
CaH4Ir
1.0
-3.441 1.225 1.815
-3.644 0.607 -1.731
-2.180 -8.504 1.606
H Ir Ca
8 2 2
Direct
0.619 0.748 0.437
0.252 0.381 0.563
0.106 0.242 0.250
0.373 0.717 0.750
0.619 0.748 0.063
0.758 0.894 0.750
0.283 0.627 0.250
0.252 0.381 0.937
0.263 0.387 0.750
0.613 0.737 0.250
0.931 0.069 0.500
0.931 0.069 0.000
```

Computed properties:
DOS at the Fermi energy, states/eV per atom: 0.09
Electronic total energy, eV per atom: -4.4073
Space-group type: Ama2 (40)

=====

Record 19
Here is crystalline CaHIr3 at its relaxed geometry from Alexandria. Energies are from GGA-PBE.

POSCAR file:
```
CaHIr3
1.0
4.083 0.000 0.000
0.000 4.083 0.000
0.000 0.000 4.083
Ir H Ca
3 1 1
Direct
0.000 0.500 0.000
0.500 0.000 0.000
0.000 0.000 0.500
0.000 0.000 0.000
0.500 0.500 0.500
```

Computed properties:
Energy above the most stable polymorph in this dataset, meV per atom: 0
DOS at the Fermi energy, states/eV per atom: 0.70
Space-group type: Pm-3m (221)

=====

Record 20
Here is crystalline Ca3H12Ir5 at its relaxed geometry from Alexandria. Energies are from GGA-PBE.

POSCAR file:
```
Ca3H12Ir5
1.0
-2.908 -0.287 -9.623
9.577 -2.990 0.699
-5.829 -6.123 5.448
Ca H Ir
12 48 20
Direct
0.250 0.625 0.875
0.625 0.250 0.375
0.125 0.250 0.875
0.750 0.875 0.625
0.875 0.750 0.125
0.375 0.750 0.625
0.625 0.375 0.750
0.125 0.875 0.750
0.750 0.375 0.125
0.250 0.125 0.375
0.875 0.125 0.250
0.375 0.625 0.250
0.588 0.691 0.675
0.691 0.103 0.016
0.016 0.412 0.825
0.412 0.397 0.588
0.809 0.484 0.397
0.675 0.191 0.588
0.984 0.397 0.309
0.897 0.588 0.912
0.412 0.309 0.325
0.809 0.325 0.912
0.325 0.809 0.412
0.397 0.412 0.088
0.588 0.603 0.412
0.191 0.516 0.603
0.675 0.484 0.588
0.016 0.603 0.691
0.088 0.175 0.191
0.897 0.309 0.484
0.912 0.088 0.603
0.691 0.588 0.175
0.484 0.675 0.088
0.412 0.016 0.325
0.088 0.912 0.397
0.516 0.325 0.912
0.603 0.588 0.912
0.325 0.516 0.412
0.588 0.897 0.412
0.397 0.984 0.809
0.412 0.103 0.588
0.088 0.912 0.103
0.516 0.191 0.103
0.175 0.088 0.691
0.103 0.412 0.088
0.825 0.912 0.309
0.088 0.175 0.484
0.912 0.825 0.809
0.912 0.088 0.897
0.191 0.675 0.088
0.309 0.897 0.984
0.825 0.912 0.016
0.984 0.588 0.175
0.912 0.825 0.516
0.103 0.691 0.516
0.603 0.016 0.191
0.484 0.809 0.897
0.309 0.412 0.825
0.175 0.088 0.984
0.588 0.984 0.675
0.875 0.625 0.750
0.250 0.375 0.625
0.875 0.250 0.625
0.500 0.500 0.500
0.125 0.375 0.250
0.625 0.875 0.250
0.625 0.750 0.875
0.000 0.000 0.000
0.000 0.000 0.500
0.750 0.625 0.375
0.125 0.750 0.375
0.250 0.875 0.125
0.500 0.000 0.000
0.000 0.500 0.500
0.375 0.250 0.125
0.750 0.125 0.875
0.500 0.500 0.000
0.000 0.500 0.000
0.375 0.125 0.750
0.500 0.000 0.500
```

Computed properties:
DOS at the Fermi energy, states/eV per atom: 0.21
Electronic total energy, eV per atom: -4.6879
Space-group type: Ia-3d (230)